Material: Cr3BiRh
Method: DFT, GGA-PBE
State: relaxed Values from VASP.

Cell and atoms, written as Quantum ESPRESSO input:
```
&SYSTEM
  ibrav = 0, nat = 5, ntyp = 3
/
ATOMIC_SPECIES
Cr 52.00 Cr.upf
Bi 208.98 Bi.upf
Rh 102.91 Rh.upf
ATOMIC_POSITIONS crystal
Cr 0.000 0.000 0.500
Cr 0.000 0.500 0.000
Cr 0.500 0.000 0.000
Bi 0.500 0.500 0.500
Rh 0.000 0.000 0.000
CELL_PARAMETERS angstrom
4.796 0.000 0.000
0.000 4.796 0.000
0.000 0.000 4.796
```

Computed properties:
Space-group type: No. 221
Total magnetization, μB/f.u.: 11.20
Electronic total energy, eV for the cell shown: -35.23
Energy of formation from the pure elements, meV/atom: 974
N(E_F), states/eV/atom: 1.486
Mass density, g cm⁻³: 7.04